[1]
Below is a crystal of BaLa2Tl relaxed with PBEsol, with properties calculated at the SCAN level.

Unit cell a=3.757 b=5.809 c=6.336 alpha=90.00 beta=97.52 gamma=90.00
Fractional positions:
Ba 0.000 0.000 0.000
La 0.280 0.500 0.710
La 0.720 0.500 0.290
Tl 0.500 0.000 0.500

**Total energy**: -1.82764 hartree per atom
**ΔE to the lowest computed polymorph**: 6.1 kJ per mole of atoms


[2]
Below is a crystal of Si3TcPt relaxed with PBEsol, with properties calculated at the SCAN level.

Unit cell a=4.522 b=4.522 c=4.522 alpha=90.00 beta=90.00 gamma=90.00
Fractional positions:
Si 0.000 0.000 0.500
Si 0.000 0.500 0.000
Si 0.500 0.000 0.000
Tc 0.000 0.000 0.000
Pt 0.500 0.500 0.500

**Total energy**: -0.96953 hartree per atom


[3]
Below is a crystal of LiYAg2 relaxed with PBEsol, with properties calculated at the SCAN level.

Unit cell a=3.124 b=3.124 c=28.783 alpha=90.00 beta=90.00 gamma=120.00
Fractional positions:
Li 0.000 0.000 0.000
Li 0.333 0.667 0.667
Li 0.667 0.333 0.333
Y 0.000 0.000 0.234
Y 0.333 0.667 0.901
Y 0.667 0.333 0.567
Ag 0.000 0.000 0.481
Ag 0.000 0.000 0.739
Ag 0.333 0.667 0.148
Ag 0.333 0.667 0.405
Ag 0.667 0.333 0.072
Ag 0.667 0.333 0.815

**Total energy**: -0.85057 hartree per atom


Q: Number 3 is which compound?
A: LiYAg2


Q: Which value of total energy does entry 1 give?
A: -1.82764 hartree per atom


Repeat the third record exactly.
Below is a crystal of LiYAg2 relaxed with PBEsol, with properties calculated at the SCAN level.

Unit cell a=3.124 b=3.124 c=28.783 alpha=90.00 beta=90.00 gamma=120.00
Fractional positions:
Li 0.000 0.000 0.000
Li 0.333 0.667 0.667
Li 0.667 0.333 0.333
Y 0.000 0.000 0.234
Y 0.333 0.667 0.901
Y 0.667 0.333 0.567
Ag 0.000 0.000 0.481
Ag 0.000 0.000 0.739
Ag 0.333 0.667 0.148
Ag 0.333 0.667 0.405
Ag 0.667 0.333 0.072
Ag 0.667 0.333 0.815

**Total energy**: -0.85057 hartree per atom


Copy entry 2 word for word.
Below is a crystal of Si3TcPt relaxed with PBEsol, with properties calculated at the SCAN level.

Unit cell a=4.522 b=4.522 c=4.522 alpha=90.00 beta=90.00 gamma=90.00
Fractional positions:
Si 0.000 0.000 0.500
Si 0.000 0.500 0.000
Si 0.500 0.000 0.000
Tc 0.000 0.000 0.000
Pt 0.500 0.500 0.500

**Total energy**: -0.96953 hartree per atom